1.
DFT (GGA-PBE) results for an optimized crystal structure of NaBrO2.

a = 6.246 Å, b = 6.246 Å, c = 6.246 Å
α = 33.87°, β = 33.87°, γ = 33.87°
Sites, in units of the cell vectors:
O1 0.879 0.879 0.879
O2 0.121 0.121 0.121
Br1 0.500 0.500 0.500
Na1 0.000 0.000 0.000

The energy above the most stable polymorph in this dataset is 2.901 eV per formula unit. As for the calculated total energy: -12.22 eV per formula unit. The value obtained for the uncorrected formation energy is 0.172 eV per atom.

---

2.
DFT (GGA-PBE) results for an optimized crystal structure of NaBrO2.

a = 11.503 Å, b = 4.333 Å, c = 6.564 Å
α = 62.91°, β = 90.00°, γ = 90.00°
Sites, in units of the cell vectors:
Br1 0.419 0.372 0.308
Br2 0.581 0.628 0.692
Br3 0.919 0.628 0.192
Br4 0.081 0.372 0.808
Na1 0.154 0.119 0.407
Na2 0.846 0.881 0.593
Na3 0.654 0.881 0.093
Na4 0.346 0.119 0.907
O1 0.197 0.452 0.613
O2 0.303 0.452 0.113
O3 0.962 0.210 0.237
O4 0.038 0.790 0.763
O5 0.697 0.548 0.887
O6 0.803 0.548 0.387
O7 0.538 0.210 0.737
O8 0.462 0.790 0.263

The energy above the most stable polymorph in this dataset is 0.055 eV per formula unit. As for the calculated total energy: -15.07 eV per formula unit. The value obtained for the uncorrected formation energy is -0.539 eV per atom.

---

3.
DFT (GGA-PBE) results for an optimized crystal structure of Na7BrO2.

a = 4.532 Å, b = 7.455 Å, c = 7.455 Å
α = 115.73°, β = 90.00°, γ = 90.00°
Sites, in units of the cell vectors:
O1 0.500 0.706 0.294
O2 0.500 0.294 0.706
Na1 0.500 0.662 0.956
Na2 0.000 0.313 0.687
Na3 0.500 0.044 0.338
Na4 0.500 0.338 0.044
Na5 0.500 0.500 0.500
Na6 0.000 0.687 0.313
Na7 0.500 0.956 0.662
Br1 0.000 0.000 0.000

As for the calculated total energy: -29.78 eV per formula unit. The value obtained for the uncorrected formation energy is -0.895 eV per atom.

---

4.
DFT (GGA-PBE) results for an optimized crystal structure of Na8Br5O.

a = 8.488 Å, b = 8.488 Å, c = 8.488 Å
α = 60.00°, β = 60.00°, γ = 60.00°
Sites, in units of the cell vectors:
Br1 0.133 0.622 0.622
Br2 0.622 0.622 0.133
Br3 0.622 0.133 0.622
Br4 0.622 0.622 0.622
Br5 0.000 0.000 0.000
Na1 0.933 0.356 0.356
Na2 0.356 0.933 0.356
Na3 0.864 0.864 0.864
Na4 0.864 0.408 0.864
Na5 0.356 0.356 0.356
Na6 0.864 0.864 0.408
Na7 0.356 0.356 0.933
Na8 0.408 0.864 0.864
O1 0.250 0.250 0.250

As for the calculated total energy: -41.45 eV per formula unit. The value obtained for the uncorrected formation energy is -1.255 eV per atom.

---

5.
DFT (GGA-PBE) results for an optimized crystal structure of Na7Br2O2.

a = 6.032 Å, b = 6.891 Å, c = 6.032 Å
α = 90.00°, β = 97.71°, γ = 90.00°
Sites, in units of the cell vectors:
Na1 0.500 0.203 0.000
Na2 0.500 0.194 0.500
Na3 0.500 0.797 0.000
Na4 0.000 0.797 0.500
Na5 0.000 0.000 0.000
Na6 0.000 0.203 0.500
Na7 0.500 0.806 0.500
Br1 0.758 0.500 0.758
Br2 0.242 0.500 0.242
O1 0.281 0.000 0.719
O2 0.719 0.000 0.281

As for the calculated total energy: -34.71 eV per formula unit. The value obtained for the uncorrected formation energy is -1.111 eV per atom.

---

6.
DFT (GGA-PBE) results for an optimized crystal structure of NaBrO2.

a = 8.722 Å, b = 5.896 Å, c = 7.772 Å
α = 57.10°, β = 90.00°, γ = 90.00°
Sites, in units of the cell vectors:
O1 0.348 0.846 0.645
O2 0.652 0.154 0.355
O3 0.152 0.846 0.145
O4 0.456 0.308 0.873
O5 0.956 0.692 0.627
O6 0.848 0.154 0.855
O7 0.544 0.692 0.127
O8 0.044 0.308 0.373
Br1 0.003 0.365 0.826
Br2 0.497 0.365 0.326
Br3 0.503 0.635 0.674
Br4 0.997 0.635 0.174
Na1 0.841 0.064 0.597
Na2 0.341 0.936 0.903
Na3 0.659 0.064 0.097
Na4 0.159 0.936 0.403

The energy above the most stable polymorph in this dataset is 0.000 eV per formula unit. As for the calculated total energy: -15.12 eV per formula unit. The value obtained for the uncorrected formation energy is -0.553 eV per atom.

---

7.
DFT (GGA-PBE) results for an optimized crystal structure of Na2BrO3.

a = 4.863 Å, b = 4.105 Å, c = 12.386 Å
α = 108.66°, β = 112.80°, γ = 90.93°
Each line ends with the local moment (μB).
Sites, in units of the cell vectors:
Na1 0.211 0.722 0.963  0.00
Na2 0.215 0.706 0.463  0.00
Na3 0.785 0.294 0.537  0.00
Na4 0.789 0.278 0.037  0.00
O1 0.330 0.320 0.576  0.23
O2 0.107 0.451 0.750  0.12
O3 0.321 0.330 0.076  0.23
O4 0.670 0.680 0.424  0.23
O5 0.679 0.670 0.924  0.23
O6 0.893 0.549 0.250  0.12
Br1 0.463 0.427 0.750  0.23
Br2 0.537 0.573 0.250  0.23

As for the calculated total energy: -23.57 eV per formula unit. The value obtained for the uncorrected formation energy is -0.730 eV per atom.

---

8.
DFT (GGA-PBE) results for an optimized crystal structure of NaBrO2.

a = 4.178 Å, b = 4.178 Å, c = 4.178 Å
α = 60.00°, β = 60.00°, γ = 60.00°
Sites, in units of the cell vectors:
O1 0.750 0.750 0.750
O2 0.250 0.250 0.250
Br1 0.500 0.500 0.500
Na1 0.000 0.000 0.000

The energy above the most stable polymorph in this dataset is 3.431 eV per formula unit. As for the calculated total energy: -11.69 eV per formula unit. The value obtained for the uncorrected formation energy is 0.305 eV per atom.

---

9.
DFT (GGA-PBE) results for an optimized crystal structure of Na8BrO4.

a = 7.348 Å, b = 7.348 Å, c = 7.348 Å
α = 60.00°, β = 60.00°, γ = 60.00°
Each line ends with the local moment (μB).
Sites, in units of the cell vectors:
Na1 0.152 0.544 0.152  0.00
Na2 0.544 0.152 0.152  0.00
Na3 0.152 0.152 0.544  0.00
Na4 0.206 0.598 0.598  0.00
Na5 0.598 0.598 0.598  0.00
Na6 0.598 0.206 0.598  0.00
Na7 0.152 0.152 0.152  0.00
Na8 0.598 0.598 0.206  0.00
O1 0.374 0.374 0.374  0.22
O2 0.374 0.877 0.374  0.22
O3 0.374 0.374 0.877  0.22
O4 0.877 0.374 0.374  0.22
Br1 0.750 0.750 0.750  0.00

As for the calculated total energy: -46.64 eV per formula unit. The value obtained for the uncorrected formation energy is -1.121 eV per atom.

---

10.
DFT (GGA-PBE) results for an optimized crystal structure of Na2BrO2.

a = 4.228 Å, b = 6.827 Å, c = 9.132 Å
α = 50.68°, β = 76.61°, γ = 71.96°
Each line ends with the local moment (μB).
Sites, in units of the cell vectors:
Na1 0.633 0.146 0.127  0.00
Na2 0.367 0.854 0.873  0.00
Na3 0.906 0.354 0.373  0.00
Na4 0.094 0.646 0.627  0.00
O1 0.106 0.485 0.053  0.40
O2 0.355 0.985 0.553  0.40
O3 0.894 0.515 0.947  0.40
O4 0.645 0.015 0.447  0.40
Br1 0.727 0.250 0.750  0.01
Br2 0.273 0.750 0.250  0.01

As for the calculated total energy: -19.66 eV per formula unit. The value obtained for the uncorrected formation energy is -1.086 eV per atom.

---

11.
DFT (GGA-PBE) results for an optimized crystal structure of Na5Br2O.

a = 4.787 Å, b = 7.587 Å, c = 13.863 Å
α = 90.00°, β = 90.00°, γ = 108.39°
Sites, in units of the cell vectors:
Br1 0.140 0.280 0.554
Br2 0.140 0.280 0.946
Br3 0.860 0.720 0.446
Br4 0.860 0.720 0.054
Na1 0.729 0.457 0.876
Na2 0.952 0.905 0.863
Na3 0.271 0.543 0.376
Na4 0.670 0.340 0.250
Na5 0.048 0.095 0.363
Na6 0.048 0.095 0.137
Na7 0.330 0.660 0.750
Na8 0.271 0.543 0.124
Na9 0.952 0.905 0.637
Na10 0.729 0.457 0.624
O1 0.833 0.667 0.750
O2 0.167 0.333 0.250

As for the calculated total energy: -24.08 eV per formula unit. The value obtained for the uncorrected formation energy is -1.148 eV per atom.

---

12.
DFT (GGA-PBE) results for an optimized crystal structure of NaBrO4.

a = 4.942 Å, b = 5.317 Å, c = 5.697 Å
α = 102.03°, β = 90.00°, γ = 90.00°
Sites, in units of the cell vectors:
O1 0.629 0.581 0.282
O2 0.717 0.739 0.866
O3 0.217 0.761 0.134
O4 0.871 0.081 0.282
O5 0.129 0.919 0.718
O6 0.283 0.261 0.134
O7 0.371 0.419 0.718
O8 0.783 0.239 0.866
Na1 0.000 0.500 0.500
Na2 0.500 0.000 0.500
Br1 0.500 0.500 0.000
Br2 0.000 0.000 0.000

As for the calculated total energy: -22.55 eV per formula unit. The value obtained for the uncorrected formation energy is 0.045 eV per atom.